## Pm2ZnSi (PBE-GGA)

Data for a relaxed structure of Pm2ZnSi.

Summary:
The value obtained for the formation energy (no corrections) is -442 meV per atom. As for the total energy: -4.492 eV/atom. As for the excess energy over the best structure of this formula in the dataset: 0.080 eV per atom.

Unit cell a=5.115 b=5.115 c=5.115 alpha=60.00 beta=60.00 gamma=60.00
Atoms (fractional coordinates):
Pm1 0.250 0.250 0.250
Pm2 0.750 0.750 0.750
Zn1 0.000 0.000 0.000
Si1 0.500 0.500 0.500